A plane-wave DFT calculation with PBE-GGA was carried out for a relaxed structure of LaHfBe17.

Unit cell a=7.7085 b=7.7085 c=11.2666 alpha=90.00 beta=90.00 gamma=120.00
Space group R3m (No. 160, hexagonal axes)
Inequivalent atoms, fractional coordinates:
La1 0.0000 0.0000 0.0000 x3
Hf1 0.0000 0.0000 0.3249 x3
Be1 0.0000 0.0000 0.5621 x3
Be2 0.0000 0.0000 0.7517 x3
Be3 0.9998 0.4999 0.5014 x9
Be4 0.0067 0.5034 0.1570 x9
Be5 0.0557 0.3860 0.3272 x18
Be6 0.1702 0.3404 0.1565 x9

Computed properties:
total DFT energy (no corrections) = -4.22 eV/atom
formation energy from the elements = -10 kJ per mole of atoms